{"formula": "TaNb3Br", "functional": "PBE", "state": "relaxed", "de_polymorph_ev_per_atom": 0.000, "dft_energy_ev_per_atom": -7.550, "raw_formation_energy_kj_per_mol_atoms": 116, "cell": [[4.705, 0.000, 0.000], [0.000, 4.705, 0.000], [0.000, 0.000, 4.705]], "species": ["Nb", "Br", "Nb", "Nb", "Ta"], "frac_coords": [[0.000, 0.000, 0.500], [0.000, 0.000, 0.000], [0.500, 0.000, 0.000], [0.000, 0.500, 0.000], [0.500, 0.500, 0.500]]}



{"formula": "TaNb3Br", "functional": "PBE", "state": "relaxed", "de_polymorph_ev_per_atom": 0.361, "dft_energy_ev_per_atom": -7.189, "raw_formation_energy_kj_per_mol_atoms": 150, "cell": [[4.986, 0.000, 0.000], [0.000, 4.986, 0.000], [0.000, 0.000, 4.986]], "species": ["Br", "Ta", "Nb", "Nb", "Nb"], "frac_coords": [[0.500, 0.500, 0.500], [0.000, 0.000, 0.000], [0.000, 0.000, 0.500], [0.500, 0.000, 0.000], [0.000, 0.500, 0.000]]}



{"formula": "TaNbBr5", "functional": "PBE", "state": "relaxed", "dft_energy_ev_per_atom": -4.591, "raw_formation_energy_kj_per_mol_atoms": -25, "cell": [[8.190, 0.000, 0.000], [0.000, 8.740, 0.000], [0.000, 0.000, 15.682]], "species": ["Ta", "Br", "Br", "Ta", "Nb", "Ta", "Br", "Nb", "Br", "Br", "Br", "Br", "Br", "Br", "Nb", "Br", "Br", "Br", "Br", "Br", "Br", "Br", "Br", "Ta", "Br", "Br", "Br", "Nb"], "frac_coords": [[0.250, 0.432, 0.350], [0.964, 0.174, 0.839], [0.036, 0.826, 0.161], [0.250, 0.068, 0.850], [0.250, 0.662, 0.067], [0.750, 0.568, 0.650], [0.464, 0.826, 0.161], [0.750, 0.162, 0.433], [0.500, 0.000, 0.500], [0.964, 0.326, 0.339], [0.750, 0.305, 0.589], [0.250, 0.434, 0.187], [0.536, 0.326, 0.339], [0.036, 0.674, 0.661], [0.250, 0.838, 0.567], [0.500, 0.500, 0.000], [0.464, 0.674, 0.661], [0.750, 0.195, 0.089], [0.000, 0.000, 0.500], [0.000, 0.500, 0.000], [0.536, 0.174, 0.839], [0.250, 0.695, 0.411], [0.250, 0.066, 0.687], [0.750, 0.932, 0.150], [0.750, 0.566, 0.813], [0.250, 0.805, 0.911], [0.750, 0.934, 0.313], [0.750, 0.338, 0.933]]}



{"formula": "TaNb2Br6", "functional": "PBE", "state": "relaxed", "dft_energy_ev_per_atom": -4.829, "raw_formation_energy_kj_per_mol_atoms": -15, "cell": [[-4.148, 0.620, 3.737], [-7.326, -0.412, -5.703], [-2.717, -8.850, 0.812]], "species": ["Br", "Br", "Ta", "Br", "Br", "Br", "Br", "Nb", "Br", "Br", "Ta", "Br", "Br", "Nb", "Br", "Br", "Nb", "Nb"], "frac_coords": [[0.849, 0.893, 0.356], [0.883, 0.482, 0.700], [0.250, 0.066, 0.934], [0.651, 0.644, 0.107], [0.164, 0.795, 0.949], [0.349, 0.356, 0.893], [0.617, 0.300, 0.518], [0.302, 0.252, 0.367], [0.117, 0.518, 0.300], [0.836, 0.205, 0.051], [0.750, 0.934, 0.066], [0.664, 0.949, 0.795], [0.336, 0.051, 0.205], [0.802, 0.367, 0.252], [0.151, 0.107, 0.644], [0.383, 0.700, 0.482], [0.198, 0.633, 0.748], [0.698, 0.748, 0.633]]}



Copy entry 2 word for word.
{"formula": "TaNb3Br", "functional": "PBE", "state": "relaxed", "de_polymorph_ev_per_atom": 0.361, "dft_energy_ev_per_atom": -7.189, "raw_formation_energy_kj_per_mol_atoms": 150, "cell": [[4.986, 0.000, 0.000], [0.000, 4.986, 0.000], [0.000, 0.000, 4.986]], "species": ["Br", "Ta", "Nb", "Nb", "Nb"], "frac_coords": [[0.500, 0.500, 0.500], [0.000, 0.000, 0.000], [0.000, 0.000, 0.500], [0.500, 0.000, 0.000], [0.000, 0.500, 0.000]]}



Number 1 is which compound?
TaNb3Br